1.
A plane-wave DFT calculation with PBE was carried out for Pm2Dy5TmTh after structural relaxation.

Cell and atoms, written as extended XYZ:
```
18
Lattice="2.853 -10.763 0.000 2.853 10.763 0.000 0.000 0.000 9.767" Properties=species:S:1:pos:R:3 pbc="T T T"
Pm 2.853 8.302 4.884
Pm 2.853 7.954 8.644
Pm 2.853 -7.954 3.760
Pm 2.853 -8.302 0.000
Dy 2.853 10.446 1.854
Dy 2.853 4.960 4.917
Dy 2.853 4.191 8.712
Dy 2.853 2.236 2.108
Dy 2.853 0.636 8.958
Dy 2.853 -0.636 4.075
Dy 2.853 -2.236 6.991
Dy 2.853 -4.191 3.829
Dy 2.853 -4.960 0.033
Dy 2.853 -10.446 6.737
Tm 2.853 6.651 1.865
Tm 2.853 -6.651 6.749
Th 2.853 2.074 5.865
Th 2.853 -2.074 0.981
```

Calculated values
The value obtained for the density is 8.33 g cm⁻³. The formation energy is 0.163 eV/atom. The total DFT energy (no corrections) is -4.771 eV per atom.

2.
A plane-wave DFT calculation with PBE was carried out for Pm3DyTm6Th2 after structural relaxation.

Cell and atoms, written as extended XYZ:
```
12
Lattice="3.080 -5.331 0.000 3.080 5.331 0.000 -2.055 0.000 11.489" Properties=species:S:1:pos:R:3 pbc="T T T"
Pm 0.000 0.000 0.000
Pm 3.080 1.771 0.000
Pm 3.080 -1.771 0.000
Dy 2.052 0.000 5.745
Tm 1.013 1.799 2.922
Tm -0.027 0.000 8.572
Tm 1.013 -1.799 2.922
Tm 3.091 1.799 8.568
Tm 4.131 0.000 2.918
Tm 3.091 -1.799 8.568
Th 2.052 3.554 5.745
Th 2.052 -3.554 5.745
```

Calculated values
The value obtained for the density is 9.13 g cm⁻³. The formation energy is 0.019 eV/atom. The total DFT energy (no corrections) is -5.024 eV per atom.

3.
A plane-wave DFT calculation with PBE was carried out for PmDyTm3Th after structural relaxation.

Cell and atoms, written as extended XYZ:
```
12
Lattice="9.797 -2.797 0.000 9.797 2.797 0.000 -0.062 0.000 6.974" Properties=species:S:1:pos:R:3 pbc="T T T"
Pm 2.842 0.000 3.213
Pm 16.690 0.000 3.761
Dy 2.938 0.000 0.247
Dy 16.595 0.000 6.727
Tm 0.401 0.000 5.265
Tm 5.425 0.000 5.206
Tm 6.650 0.000 1.683
Tm 12.882 0.000 5.290
Tm 14.107 0.000 1.768
Tm 19.131 0.000 1.708
Th 8.675 0.000 5.374
Th 10.857 0.000 1.600
```

Calculated values
The value obtained for the density is 9.09 g cm⁻³. The formation energy is 0.222 eV/atom. The total DFT energy (no corrections) is -4.809 eV per atom.

4.
A plane-wave DFT calculation with PBE was carried out for PmDyTmTh after structural relaxation.

Cell and atoms, written as extended XYZ:
```
12
Lattice="3.587 0.000 0.000 -1.794 3.107 0.000 0.000 0.000 34.469" Properties=species:S:1:pos:R:3 pbc="T T T"
Pm 0.000 0.000 0.000
Pm 0.000 2.071 22.980
Pm 1.794 1.036 11.490
Dy 0.000 0.000 8.532
Dy 0.000 2.071 31.512
Dy 1.794 1.036 20.022
Tm 0.000 0.000 14.429
Tm 0.000 2.071 2.939
Tm 1.794 1.036 25.918
Th 0.000 0.000 28.709
Th 0.000 2.071 17.219
Th 1.794 1.036 5.730
```

Calculated values
The value obtained for the density is 9.19 g cm⁻³. The formation energy is 0.013 eV/atom. The total DFT energy (no corrections) is -5.298 eV per atom.

5.
A plane-wave DFT calculation with PBE was carried out for Pm4DyTm2Th after structural relaxation.

Cell and atoms, written as extended XYZ:
```
8
Lattice="5.065 0.000 0.000 0.000 5.065 0.000 0.000 0.000 10.187" Properties=species:S:1:pos:R:3 pbc="T T T"
Pm 0.000 2.532 2.535
Pm 0.000 2.532 7.653
Pm 2.532 0.000 2.535
Pm 2.532 0.000 7.653
Dy 0.000 0.000 5.094
Tm 0.000 0.000 0.000
Tm 2.532 2.532 5.094
Th 2.532 2.532 0.000
```

Calculated values
The value obtained for the density is 8.34 g cm⁻³. The formation energy is 0.031 eV/atom. The total DFT energy (no corrections) is -4.965 eV per atom.

6.
A plane-wave DFT calculation with PBE was carried out for Pm5Dy2TmTh after structural relaxation.

Cell and atoms, written as extended XYZ:
```
18
Lattice="2.804 -10.263 0.000 2.804 10.263 0.000 0.000 0.000 10.598" Properties=species:S:1:pos:R:3 pbc="T T T"
Pm 2.804 9.998 5.299
Pm 2.804 4.594 8.436
Pm 2.804 4.262 1.997
Pm 2.804 2.401 5.368
Pm 2.804 0.320 2.435
Pm 2.804 -0.320 7.734
Pm 2.804 -2.401 0.069
Pm 2.804 -4.262 7.296
Pm 2.804 -4.594 3.136
Pm 2.804 -9.998 0.000
Dy 2.804 7.953 2.358
Dy 2.804 7.912 8.363
Dy 2.804 -7.912 3.064
Dy 2.804 -7.953 7.657
Tm 2.804 1.973 10.051
Tm 2.804 -1.973 4.752
Th 2.804 6.167 5.241
Th 2.804 -6.167 10.540
```

Calculated values
The value obtained for the density is 7.90 g cm⁻³. The formation energy is 0.152 eV/atom. The total DFT energy (no corrections) is -4.831 eV per atom.

7.
A plane-wave DFT calculation with PBE was carried out for Pm3Dy6TmTh2 after structural relaxation.

Cell and atoms, written as extended XYZ:
```
12
Lattice="3.095 -5.357 0.000 3.095 5.357 0.000 -2.066 0.000 11.622" Properties=species:S:1:pos:R:3 pbc="T T T"
Pm 0.000 0.000 0.000
Pm 3.095 1.784 0.000
Pm 3.095 -1.784 0.000
Dy 1.021 1.803 2.962
Dy -0.023 0.000 8.665
Dy 1.021 -1.803 2.962
Dy 3.104 1.803 8.660
Dy 4.148 0.000 2.957
Dy 3.104 -1.803 8.660
Tm 2.063 0.000 5.811
Th 2.063 3.572 5.811
Th 2.063 -3.572 5.811
```

Calculated values
The value obtained for the density is 8.80 g cm⁻³. The formation energy is 0.018 eV/atom. The total DFT energy (no corrections) is -5.080 eV per atom.

8.
A plane-wave DFT calculation with PBE was carried out for Pm2Dy6Tm3Th after structural relaxation.

Cell and atoms, written as extended XYZ:
```
12
Lattice="3.080 -5.329 0.000 3.080 5.329 0.000 -2.052 0.000 11.582" Properties=species:S:1:pos:R:3 pbc="T T T"
Pm 3.080 3.554 0.000
Pm 3.080 -3.554 0.000
Dy 0.006 1.758 8.659
Dy 1.056 0.000 2.924
Dy 0.006 -1.758 8.659
Dy 4.103 1.758 2.923
Dy 3.054 0.000 8.658
Dy 4.103 -1.758 2.923
Tm -1.026 0.000 5.791
Tm 2.055 1.780 5.791
Tm 2.055 -1.780 5.791
Th 3.080 0.000 0.000
```

Calculated values
The value obtained for the density is 8.75 g cm⁻³. The formation energy is 0.032 eV/atom. The total DFT energy (no corrections) is -4.797 eV per atom.

9.
A plane-wave DFT calculation with PBE was carried out for Pm4Dy2TmTh after structural relaxation.

Cell and atoms, written as extended XYZ:
```
8
Lattice="6.010 0.000 0.000 0.000 6.010 0.000 0.000 0.000 7.292" Properties=species:S:1:pos:R:3 pbc="T T T"
Pm 0.000 3.005 1.810
Pm 0.000 3.005 5.481
Pm 3.005 0.000 1.810
Pm 3.005 0.000 5.481
Dy 0.000 0.000 0.000
Dy 3.005 3.005 3.646
Tm 0.000 0.000 3.646
Th 3.005 3.005 0.000
```

Calculated values
The value obtained for the density is 8.23 g cm⁻³. The formation energy is 0.141 eV/atom. The total DFT energy (no corrections) is -4.871 eV per atom.

10.
A plane-wave DFT calculation with PBE was carried out for PmDy2Tm5Th after structural relaxation.

Cell and atoms, written as extended XYZ:
```
18
Lattice="-4.355 4.355 7.455 4.355 -4.355 7.455 4.355 4.355 -7.455" Properties=species:S:1:pos:R:3 pbc="T T T"
Pm 4.355 0.000 3.728
Pm 0.000 4.355 3.728
Dy 5.353 0.998 0.000
Dy 0.998 3.357 0.000
Dy 3.357 0.998 7.455
Dy -0.998 3.357 7.455
Tm 0.000 0.000 0.000
Tm 2.538 1.817 -2.022
Tm 2.538 -1.817 5.433
Tm 2.538 1.817 2.022
Tm 2.538 -1.817 9.478
Tm 0.000 0.000 7.455
Tm 1.817 6.172 -2.022
Tm 1.817 2.538 5.433
Tm 1.817 6.172 2.022
Tm 1.817 2.538 9.478
Th 0.000 0.000 3.728
Th 0.000 0.000 11.183
```

Calculated values
The value obtained for the density is 9.08 g cm⁻³. The formation energy is 0.312 eV/atom. The total DFT energy (no corrections) is -4.547 eV per atom.

11.
A plane-wave DFT calculation with PBE was carried out for Pm2DyTm5Th after structural relaxation.

Cell and atoms, written as extended XYZ:
```
18
Lattice="-4.332 4.332 7.591 4.332 -4.332 7.591 4.332 4.332 -7.591" Properties=species:S:1:pos:R:3 pbc="T T T"
Pm 5.331 1.000 0.000
Pm 1.000 3.332 0.000
Pm 3.332 1.000 7.591
Pm -1.000 3.332 7.591
Dy 4.332 0.000 3.795
Dy 0.000 4.332 3.795
Tm 0.000 0.000 0.000
Tm 2.488 1.844 -2.107
Tm 2.488 -1.844 5.484
Tm 2.488 1.844 2.107
Tm 2.488 -1.844 9.697
Tm 0.000 0.000 7.591
Tm 1.844 6.175 -2.107
Tm 1.844 2.488 5.484
Tm 1.844 6.175 2.107
Tm 1.844 2.488 9.697
Th 0.000 0.000 3.795
Th 0.000 0.000 11.386
```

Calculated values
The value obtained for the density is 8.91 g cm⁻³. The formation energy is 0.295 eV/atom. The total DFT energy (no corrections) is -4.581 eV per atom.

12.
A plane-wave DFT calculation with PBE was carried out for PmDy6Tm2Th3 after structural relaxation.

Cell and atoms, written as extended XYZ:
```
12
Lattice="3.083 -5.339 0.000 3.083 5.339 0.000 -2.060 0.000 11.544" Properties=species:S:1:pos:R:3 pbc="T T T"
Pm 0.000 0.000 0.000
Dy 1.028 1.783 2.928
Dy 0.002 0.000 8.618
Dy 1.028 -1.783 2.928
Dy 3.079 1.783 8.616
Dy 4.105 0.000 2.926
Dy 3.079 -1.783 8.616
Tm 3.083 1.782 0.000
Tm 3.083 -1.782 0.000
Th 2.053 3.563 5.772
Th 2.053 0.000 5.772
Th 2.053 -3.563 5.772
```

Calculated values
The value obtained for the density is 9.41 g cm⁻³. The formation energy is 0.024 eV/atom. The total DFT energy (no corrections) is -5.273 eV per atom.

Q: Which of these has the highest total DFT energy (no corrections)?
A: PmDy2Tm5Th

What did the seventh record say?
A plane-wave DFT calculation with PBE was carried out for Pm3Dy6TmTh2 after structural relaxation.

Cell and atoms, written as extended XYZ:
```
12
Lattice="3.095 -5.357 0.000 3.095 5.357 0.000 -2.066 0.000 11.622" Properties=species:S:1:pos:R:3 pbc="T T T"
Pm 0.000 0.000 0.000
Pm 3.095 1.784 0.000
Pm 3.095 -1.784 0.000
Dy 1.021 1.803 2.962
Dy -0.023 0.000 8.665
Dy 1.021 -1.803 2.962
Dy 3.104 1.803 8.660
Dy 4.148 0.000 2.957
Dy 3.104 -1.803 8.660
Tm 2.063 0.000 5.811
Th 2.063 3.572 5.811
Th 2.063 -3.572 5.811
```

Calculated values
The value obtained for the density is 8.80 g cm⁻³. The formation energy is 0.018 eV/atom. The total DFT energy (no corrections) is -5.080 eV per atom.

Q: Which formula does entry 11 have?
A: Pm2DyTm5Th

Q: The highest density belongs to which entry?
A: PmDy6Tm2Th3